Entry 1:
The following is a PBE calculation of HfCr2Ni2 after structural relaxation, from Alexandria via LeMat-Bulk.

a = 7.165 Å, b = 7.165 Å, c = 2.567 Å
α = 90.00°, β = 90.00°, γ = 90.00°
Space group P4/mbm (No. 127)
Symmetry-distinct sites (fractional):
Hf: 0.000 0.000 0.000 (multiplicity 2)
Cr: 0.173 0.327 0.500 (multiplicity 4)
Ni: 0.121 0.621 0.000 (multiplicity 4)

Values from the calculation:
As for the formation energy: 0.164 eV/atom. The distance to the lowest polymorph of the same formula is 138 meV/atom.

***

Entry 2:
The following is a PBE calculation of CsLi2Te2 after structural relaxation, from Alexandria via LeMat-Bulk.

a = 4.971 Å, b = 4.971 Å, c = 12.695 Å
α = 90.00°, β = 90.00°, γ = 90.00°
Space group I4/mmm (No. 139)
Symmetry-distinct sites (fractional):
Cs: 0.000 0.000 0.000 (multiplicity 2)
Li: 0.000 0.500 0.250 (multiplicity 4)
Te: 0.000 0.000 0.359 (multiplicity 4)

Values from the calculation:
The distance to the lowest polymorph of the same formula is 34 meV/atom.

***

Entry 3:
The following is a PBE calculation of CaSc4Se after structural relaxation, from Alexandria via LeMat-Bulk.

a = 8.683 Å, b = 8.683 Å, c = 8.683 Å
α = 90.00°, β = 90.00°, γ = 90.00°
Space group F-43m (No. 216)
Symmetry-distinct sites (fractional):
Ca: 0.000 0.000 0.000 (multiplicity 4)
Sc: 0.127 0.127 0.627 (multiplicity 16)
Se: 0.250 0.250 0.250 (multiplicity 4)

***

Entry 4:
The following is a PBE calculation of Pu3MgN4 after structural relaxation, from Alexandria via LeMat-Bulk.

a = 5.139 Å, b = 5.139 Å, c = 5.139 Å
α = 90.00°, β = 90.00°, γ = 90.00°
Space group P-43m (No. 215)
Symmetry-distinct sites (fractional):
Pu: 0.000 0.000 0.500 (multiplicity 3)
Mg: 0.500 0.500 0.500 (multiplicity 1)
N: 0.255 0.255 0.745 (multiplicity 4)

***

Entry 5:
The following is a PBE calculation of Hf2BeZnW after structural relaxation, from Alexandria via LeMat-Bulk.

a = 4.644 Å, b = 4.644 Å, c = 4.200 Å
α = 90.00°, β = 90.00°, γ = 90.00°
Space group P4/mmm (No. 123)
Symmetry-distinct sites (fractional):
Hf: 0.000 0.500 0.000 (multiplicity 2)
Be: 0.000 0.000 0.000 (multiplicity 1)
Zn: 0.500 0.500 0.500 (multiplicity 1)
W: 0.000 0.000 0.500 (multiplicity 1)

Values from the calculation:
As for the formation energy: 0.480 eV/atom.

***

Entry 6:
The following is a PBE calculation of YHf2Co2 after structural relaxation, from Alexandria via LeMat-Bulk.

a = 4.005 Å, b = 4.005 Å, c = 12.614 Å
α = 90.00°, β = 90.00°, γ = 90.00°
Space group I4/mmm (No. 139)
Symmetry-distinct sites (fractional):
Y: 0.000 0.000 0.000 (multiplicity 2)
Hf: 0.000 0.000 0.366 (multiplicity 4)
Co: 0.000 0.500 0.250 (multiplicity 4)

Values from the calculation:
As for the formation energy: 0.129 eV/atom. The distance to the lowest polymorph of the same formula is 396 meV/atom.

***

Entry 7:
The following is a PBE calculation of Na14CdAu after structural relaxation, from Alexandria via LeMat-Bulk.

a = 7.103 Å, b = 7.103 Å, c = 10.084 Å
α = 90.00°, β = 90.00°, γ = 90.00°
Space group P4/mmm (No. 123)
Symmetry-distinct sites (fractional):
Na: 0.000 0.000 0.000 (multiplicity 1)
Na: 0.000 0.500 0.000 (multiplicity 2)
Na: 0.000 0.500 0.500 (multiplicity 2)
Na: 0.243 0.243 0.283 (multiplicity 8)
Na: 0.500 0.500 0.000 (multiplicity 1)
Cd: 0.500 0.500 0.500 (multiplicity 1)
Au: 0.000 0.000 0.500 (multiplicity 1)

Values from the calculation:
As for the formation energy: -0.043 eV/atom.

***

Entry 8:
The following is a PBE calculation of CsKCd3 after structural relaxation, from Alexandria via LeMat-Bulk.

a = 6.172 Å, b = 20.200 Å, c = 6.515 Å
α = 90.00°, β = 90.00°, γ = 90.00°
Space group Cmcm (No. 63)
Symmetry-distinct sites (fractional):
Cs: 0.000 0.208 0.250 (multiplicity 4)
K: 0.000 0.437 0.750 (multiplicity 4)
Cd: 0.000 0.000 0.000 (multiplicity 4)
Cd: 0.248 0.393 0.250 (multiplicity 8)

Values from the calculation:
As for the formation energy: -0.064 eV/atom. The distance to the lowest polymorph of the same formula is 0 meV/atom.

***

Entry 9:
The following is a PBE calculation of Nd3Cd2Ag6 after structural relaxation, from Alexandria via LeMat-Bulk.

a = 4.005 Å, b = 4.005 Å, c = 33.787 Å
α = 90.00°, β = 90.00°, γ = 90.00°
Space group I4/mmm (No. 139)
Symmetry-distinct sites (fractional):
Nd: 0.000 0.000 0.000 (multiplicity 2)
Nd: 0.000 0.000 0.181 (multiplicity 4)
Cd: 0.000 0.000 0.365 (multiplicity 4)
Ag: 0.000 0.000 0.273 (multiplicity 4)
Ag: 0.000 0.500 0.073 (multiplicity 8)

Values from the calculation:
As for the formation energy: -0.079 eV/atom.

***

Entry 10:
The following is a PBE calculation of MnAgSe2 after structural relaxation, from Alexandria via LeMat-Bulk.

a = 3.439 Å, b = 23.183 Å, c = 4.276 Å
α = 90.00°, β = 90.00°, γ = 90.00°
Space group Cmcm (No. 63)
Symmetry-distinct sites (fractional):
Mn: 0.000 0.182 0.250 (multiplicity 4)
Ag: 0.000 0.462 0.250 (multiplicity 4)
Se: 0.000 0.292 0.250 (multiplicity 4)
Se: 0.000 0.402 0.750 (multiplicity 4)

***

Entry 11:
The following is a PBE calculation of Nd7InGe5 after structural relaxation, from Alexandria via LeMat-Bulk.

a = 6.236 Å, b = 11.230 Å, c = 10.243 Å
α = 90.00°, β = 90.00°, γ = 90.00°
Space group Imm2 (No. 44)
Symmetry-distinct sites (fractional):
Nd: 0.000 0.000 0.000 (multiplicity 2)
Nd: 0.000 0.000 0.378 (multiplicity 2)
Nd: 0.000 0.317 0.670 (multiplicity 4)
Nd: 0.000 0.334 0.108 (multiplicity 4)
Nd: 0.000 0.500 0.360 (multiplicity 2)
In: 0.000 0.000 0.686 (multiplicity 2)
Ge: 0.000 0.500 0.878 (multiplicity 2)
Ge: 0.212 0.261 0.399 (multiplicity 8)

Values from the calculation:
As for the formation energy: -0.515 eV/atom.

***

Entry 12:
The following is a PBE calculation of AlP2 after structural relaxation, from Alexandria via LeMat-Bulk.

a = 7.219 Å, b = 7.219 Å, c = 7.219 Å
α = 90.00°, β = 90.00°, γ = 90.00°
Space group Fd-3m (No. 227, origin choice 2)
Symmetry-distinct sites (fractional):
Al: 0.125 0.125 0.125 (multiplicity 8)
P: 0.000 0.000 0.500 (multiplicity 16)

Values from the calculation:
As for the formation energy: 0.537 eV/atom.

***

Entry 13:
The following is a PBE calculation of La2Ho5Tm5 after structural relaxation, from Alexandria via LeMat-Bulk.

a = 15.081 Å, b = 5.024 Å, c = 11.209 Å
α = 90.00°, β = 116.59°, γ = 90.00°
Space group C2/m (No. 12)
Symmetry-distinct sites (fractional):
La: 0.083 0.000 0.248 (multiplicity 4)
Ho: 0.000 0.500 0.000 (multiplicity 2)
Ho: 0.086 0.500 0.751 (multiplicity 4)
Ho: 0.166 0.500 0.500 (multiplicity 4)
Tm: 0.000 0.000 0.500 (multiplicity 2)
Tm: 0.169 0.000 0.000 (multiplicity 4)
Tm: 0.247 0.000 0.749 (multiplicity 4)

Values from the calculation:
As for the formation energy: 0.034 eV/atom.

***

Entry 14:
The following is a PBE calculation of YBeFe2 after structural relaxation, from Alexandria via LeMat-Bulk.

a = 3.074 Å, b = 3.074 Å, c = 6.136 Å
α = 90.00°, β = 90.00°, γ = 90.00°
Space group P4/mmm (No. 123)
Symmetry-distinct sites (fractional):
Y: 0.000 0.000 0.000 (multiplicity 1)
Be: 0.000 0.000 0.500 (multiplicity 1)
Fe: 0.500 0.500 0.324 (multiplicity 2)

Values from the calculation:
As for the formation energy: 0.159 eV/atom.

***

Entry 15:
The following is a PBE calculation of CePmDy5 after structural relaxation, from Alexandria via LeMat-Bulk.

a = 10.650 Å, b = 6.580 Å, c = 13.170 Å
α = 90.00°, β = 94.79°, γ = 90.00°
Space group C2/c (No. 15)
Symmetry-distinct sites (fractional):
Ce: 0.000 0.000 0.000 (multiplicity 4)
Pm: 0.000 0.239 0.250 (multiplicity 4)
Dy: 0.000 0.236 0.750 (multiplicity 4)
Dy: 0.165 0.497 0.579 (multiplicity 8)
Dy: 0.248 0.498 0.840 (multiplicity 8)

Values from the calculation:
As for the formation energy: 0.221 eV/atom.

***

Entry 16:
The following is a PBE calculation of ZrPb2Cl8 after structural relaxation, from Alexandria via LeMat-Bulk.

a = 12.078 Å, b = 9.243 Å, c = 6.311 Å
α = 90.00°, β = 110.14°, γ = 90.00°
Space group C2/m (No. 12)
Symmetry-distinct sites (fractional):
Zr: 0.000 0.000 0.000 (multiplicity 2)
Pb: 0.157 0.500 0.420 (multiplicity 4)
Cl: 0.086 0.500 0.791 (multiplicity 4)
Cl: 0.120 0.000 0.760 (multiplicity 4)
Cl: 0.136 0.188 0.247 (multiplicity 8)

***

Entry 17:
The following is a PBE calculation of PmCd2Ag2 after structural relaxation, from Alexandria via LeMat-Bulk.

a = 3.720 Å, b = 4.669 Å, c = 26.930 Å
α = 90.00°, β = 90.00°, γ = 90.00°
Space group Imma (No. 74)
Symmetry-distinct sites (fractional):
Pm: 0.000 0.250 0.077 (multiplicity 4)
Cd: 0.000 0.250 0.306 (multiplicity 4)
Cd: 0.000 0.250 0.792 (multiplicity 4)
Ag: 0.000 0.250 0.527 (multiplicity 4)
Ag: 0.000 0.250 0.628 (multiplicity 4)

Values from the calculation:
As for the formation energy: -0.164 eV/atom. The distance to the lowest polymorph of the same formula is 52 meV/atom.

***

Entry 18:
The following is a PBE calculation of CsB3F after structural relaxation, from Alexandria via LeMat-Bulk.

a = 5.493 Å, b = 5.493 Å, c = 5.493 Å
α = 90.00°, β = 90.00°, γ = 90.00°
Space group Pm-3m (No. 221)
Symmetry-distinct sites (fractional):
Cs: 0.000 0.000 0.000 (multiplicity 1)
B: 0.000 0.000 0.500 (multiplicity 3)
F: 0.500 0.500 0.500 (multiplicity 1)

Values from the calculation:
The distance to the lowest polymorph of the same formula is 930 meV/atom.

***

Entry 19:
The following is a PBE calculation of TiBeAl2P after structural relaxation, from Alexandria via LeMat-Bulk.

a = 5.047 Å, b = 5.047 Å, c = 4.568 Å
α = 90.00°, β = 90.00°, γ = 90.00°
Space group P4/mmm (No. 123)
Symmetry-distinct sites (fractional):
Ti: 0.000 0.000 0.000 (multiplicity 1)
Be: 0.500 0.500 0.500 (multiplicity 1)
Al: 0.000 0.500 0.000 (multiplicity 2)
P: 0.000 0.000 0.500 (multiplicity 1)

Values from the calculation:
As for the formation energy: 0.935 eV/atom.

***

Entry 20:
The following is a PBE calculation of CdAsPtBr2 after structural relaxation, from Alexandria via LeMat-Bulk.

a = 5.224 Å, b = 5.224 Å, c = 5.508 Å
α = 90.00°, β = 90.00°, γ = 90.00°
Space group P4/mmm (No. 123)
Symmetry-distinct sites (fractional):
Cd: 0.000 0.000 0.000 (multiplicity 1)
As: 0.000 0.000 0.500 (multiplicity 1)
Pt: 0.500 0.500 0.500 (multiplicity 1)
Br: 0.000 0.500 0.000 (multiplicity 2)

Values from the calculation:
The distance to the lowest polymorph of the same formula is 756 meV/atom.

***

Raw total energy: -7.989 -3.091 -4.954 -10.706 -7.092 -7.987 -1.459 -1.004 -3.101 -4.878 -5.069 -4.317 -4.558 -6.620 -4.593 -4.204 -2.621 -1.478 -3.968 -2.076 (eV/atom)